## PuSc2Bi3 (PBE)

Data for crystalline PuSc2Bi3 at its relaxed geometry.

Lattice parameters (Å, degrees): 9.686 9.686 9.686 153.83 153.83 37.35
Fractional positions:
Pu 0.000 0.000 0.000
Sc 0.335 0.335 0.000
Sc 0.665 0.665 0.000
Bi 0.172 0.172 0.000
Bi 0.500 0.500 0.000
Bi 0.828 0.828 0.000

Properties
- space-group type = I4/mmm (139)
- formation energy from the elements (eV/atom) = -0.515

---

## SmPuSc2Bi4 (PBE)

Data for crystalline SmPuSc2Bi4 at its relaxed geometry.

Lattice parameters (Å, degrees): 7.614 4.415 7.655 90.00 109.48 90.00
Fractional positions:
Sm 0.000 0.000 0.000
Pu 0.000 0.500 0.500
Sc 0.500 0.000 0.500
Sc 0.500 0.500 0.000
Bi 0.269 0.000 0.755
Bi 0.269 0.500 0.258
Bi 0.731 0.000 0.245
Bi 0.731 0.500 0.742

Properties
- space-group type = P2/m (10)
- formation energy from the elements (eV/atom) = -0.634

---

## Sm2PuScBi4 (PBE)

Data for crystalline Sm2PuScBi4 at its relaxed geometry.

Lattice parameters (Å, degrees): 7.757 4.493 7.764 90.00 109.43 90.00
Fractional positions:
Sm 0.000 0.000 0.000
Sm 0.500 0.500 0.000
Pu 0.000 0.500 0.500
Sc 0.500 0.000 0.500
Bi 0.255 0.000 0.741
Bi 0.262 0.500 0.264
Bi 0.738 0.500 0.736
Bi 0.745 0.000 0.259

Properties
- space-group type = P2/m (10)
- formation energy from the elements (eV/atom) = -0.688

---

## PuScBiTe (PBE)

Data for crystalline PuScBiTe at its relaxed geometry.

Lattice parameters (Å, degrees): 7.560 7.560 7.560 33.44 33.44 33.44
Fractional positions:
Pu 0.000 0.000 0.000
Sc 0.499 0.499 0.499
Bi 0.242 0.242 0.242
Te 0.755 0.755 0.755

Properties
- raw formation energy (eV/atom) = -0.822
- space-group type = R3m (160)

---

## PuTh2ScBi4 (PBE)

Data for crystalline PuTh2ScBi4 at its relaxed geometry.

Lattice parameters (Å, degrees): 7.765 4.531 7.838 90.00 109.64 90.00
Fractional positions:
Pu 0.000 0.000 0.000
Th 0.500 0.000 0.500
Th 0.500 0.500 0.000
Sc 0.000 0.500 0.500
Bi 0.233 0.000 0.737
Bi 0.239 0.500 0.254
Bi 0.761 0.500 0.746
Bi 0.767 0.000 0.263

Properties
- space-group type = P2/m (10)
- formation energy from the elements (eV/atom) = -0.545

---

## Pu2ThScBi4 (PBE)

Data for crystalline Pu2ThScBi4 at its relaxed geometry.

Lattice parameters (Å, degrees): 7.769 4.517 7.824 90.00 109.50 90.00
Fractional positions:
Pu 0.000 0.000 0.000
Pu 0.500 0.500 0.000
Th 0.000 0.500 0.500
Sc 0.500 0.000 0.500
Bi 0.261 0.000 0.747
Bi 0.265 0.500 0.261
Bi 0.735 0.500 0.739
Bi 0.739 0.000 0.253

Properties
- space-group type = P2/m (10)
- formation energy from the elements (eV/atom) = -0.489

---

## PuThSc2Bi4 (PBE)

Data for crystalline PuThSc2Bi4 at its relaxed geometry.

Lattice parameters (Å, degrees): 7.623 4.439 7.687 90.00 109.59 90.00
Fractional positions:
Pu 0.000 0.000 0.000
Th 0.000 0.500 0.500
Sc 0.500 0.000 0.500
Sc 0.500 0.500 0.000
Bi 0.270 0.500 0.255
Bi 0.273 0.000 0.759
Bi 0.727 0.000 0.241
Bi 0.730 0.500 0.745

Properties
- space-group type = P2/m (10)
- formation energy from the elements (eV/atom) = -0.572

---

## PuScTlBi (PBE)

Data for crystalline PuScTlBi at its relaxed geometry.

Lattice parameters (Å, degrees): 5.322 5.322 5.322 60.00 60.00 60.00
Fractional positions:
Pu 0.000 0.000 0.000
Sc 0.500 0.500 0.500
Tl 0.250 0.250 0.250
Bi 0.750 0.750 0.750

Properties
- space-group type = F-43m (216)
- formation energy from the elements (eV/atom) = -0.215

---

## TmPuSc2Bi4 (PBE)

Data for crystalline TmPuSc2Bi4 at its relaxed geometry.

Lattice parameters (Å, degrees): 7.578 4.377 7.586 90.00 109.38 90.00
Fractional positions:
Tm 0.000 0.000 0.000
Pu 0.000 0.500 0.500
Sc 0.500 0.000 0.500
Sc 0.500 0.500 0.000
Bi 0.264 0.500 0.251
Bi 0.266 0.000 0.759
Bi 0.734 0.000 0.241
Bi 0.736 0.500 0.749

Properties
- space-group type = P2/m (10)
- formation energy from the elements (eV/atom) = -0.599

---

## Tm2PuScBi4 (PBE)

Data for crystalline Tm2PuScBi4 at its relaxed geometry.

Lattice parameters (Å, degrees): 7.652 4.426 7.662 90.00 109.37 90.00
Fractional positions:
Tm 0.000 0.000 0.000
Tm 0.500 0.500 0.000
Pu 0.000 0.500 0.500
Sc 0.500 0.000 0.500
Bi 0.258 0.000 0.751
Bi 0.259 0.500 0.255
Bi 0.741 0.500 0.745
Bi 0.742 0.000 0.249

Properties
- space-group type = P2/m (10)
- formation energy from the elements (eV/atom) = -0.620

---

## Y2PuScBi4 (PBE)

Data for crystalline Y2PuScBi4 at its relaxed geometry.

Lattice parameters (Å, degrees): 7.692 4.452 7.705 90.00 109.39 90.00
Fractional positions:
Y 0.000 0.000 0.000
Y 0.500 0.500 0.000
Pu 0.000 0.500 0.500
Sc 0.500 0.000 0.500
Bi 0.257 0.000 0.746
Bi 0.261 0.500 0.259
Bi 0.739 0.500 0.741
Bi 0.743 0.000 0.254

Properties
- space-group type = P2/m (10)
- formation energy from the elements (eV/atom) = -0.677

---

## YPu2ScBi4 (PBE)

Data for crystalline YPu2ScBi4 at its relaxed geometry.

Lattice parameters (Å, degrees): 7.688 4.469 7.764 90.00 109.43 90.00
Fractional positions:
Y 0.000 0.000 0.000
Pu 0.500 0.000 0.500
Pu 0.500 0.500 0.000
Sc 0.000 0.500 0.500
Bi 0.237 0.000 0.739
Bi 0.242 0.500 0.255
Bi 0.758 0.500 0.745
Bi 0.763 0.000 0.261

Properties
- space-group type = P2/m (10)
- formation energy from the elements (eV/atom) = -0.531

---

## PuScZnBi (PBE)

Data for crystalline PuScZnBi at its relaxed geometry.

Lattice parameters (Å, degrees): 5.169 5.169 5.169 60.00 60.00 60.00
Fractional positions:
Pu 0.000 0.000 0.000
Sc 0.500 0.500 0.500
Zn 0.750 0.750 0.750
Bi 0.250 0.250 0.250

Properties
- space-group type = F-43m (216)
- formation energy from the elements (eV/atom) = -0.225

---

## Pu2ZrScBi4 (PBE)

Data for crystalline Pu2ZrScBi4 at its relaxed geometry.

Lattice parameters (Å, degrees): 7.599 4.373 7.647 90.00 109.16 90.00
Fractional positions:
Pu 0.000 0.000 0.000
Pu 0.000 0.500 0.500
Zr 0.500 0.000 0.500
Sc 0.500 0.500 0.000
Bi 0.268 0.500 0.255
Bi 0.269 0.000 0.756
Bi 0.731 0.000 0.244
Bi 0.732 0.500 0.745

Properties
- space-group type = P2/m (10)
- formation energy from the elements (eV/atom) = -0.407

---

## PuBi3Se6 (PBE)

Data for crystalline PuBi3Se6 at its relaxed geometry.

Lattice parameters (Å, degrees): 12.174 4.149 12.284 90.00 107.59 90.00
Fractional positions:
Pu 0.184 0.250 0.037
Pu 0.816 0.750 0.963
Bi 0.027 0.750 0.306
Bi 0.339 0.250 0.432
Bi 0.406 0.750 0.850
Bi 0.594 0.250 0.150
Bi 0.661 0.750 0.568
Bi 0.973 0.250 0.694
Se 0.037 0.750 0.895
Se 0.118 0.250 0.470
Se 0.226 0.750 0.236
Se 0.244 0.250 0.808
Se 0.385 0.750 0.071
Se 0.418 0.750 0.595
Se 0.582 0.250 0.405
Se 0.615 0.250 0.929
Se 0.756 0.750 0.192
Se 0.774 0.250 0.764
Se 0.882 0.750 0.530
Se 0.963 0.250 0.105

Properties
- raw formation energy (eV/atom) = -0.629
- space-group type = P2_1/m (11)

---

## Pu3BiSe3 (PBE)

Data for crystalline Pu3BiSe3 at its relaxed geometry.

Lattice parameters (Å, degrees): 7.770 7.770 7.770 70.59 70.59 70.59
Fractional positions:
Pu 0.057 0.776 0.433
Pu 0.224 0.567 0.943
Pu 0.433 0.057 0.776
Pu 0.567 0.943 0.224
Pu 0.776 0.433 0.057
Pu 0.943 0.224 0.567
Bi 0.160 0.160 0.160
Bi 0.840 0.840 0.840
Se 0.131 0.402 0.695
Se 0.305 0.869 0.598
Se 0.402 0.695 0.131
Se 0.598 0.305 0.869
Se 0.695 0.131 0.402
Se 0.869 0.598 0.305

Properties
- raw formation energy (eV/atom) = -1.092
- space-group type = R-3 (148)

---

## Pu2BiSe (PBE)

Data for crystalline Pu2BiSe at its relaxed geometry.

Lattice parameters (Å, degrees): 7.478 7.478 7.478 33.94 33.94 33.94
Fractional positions:
Pu 0.241 0.241 0.241
Pu 0.759 0.759 0.759
Bi 0.000 0.000 0.000
Se 0.500 0.500 0.500

Properties
- raw formation energy (eV/atom) = -0.915
- space-group type = R-3m (166)
- excess energy over the best structure of this formula in the dataset (eV/atom) = 0.000

---

## Pu3BiSe2 (PBE)

Data for crystalline Pu3BiSe2 at its relaxed geometry.

Lattice parameters (Å, degrees): 7.337 7.337 9.879 90.00 90.00 141.53
Fractional positions:
Pu 0.111 0.889 0.750
Pu 0.369 0.631 0.542
Pu 0.369 0.631 0.958
Pu 0.631 0.369 0.042
Pu 0.631 0.369 0.458
Pu 0.889 0.111 0.250
Bi 0.223 0.777 0.250
Bi 0.777 0.223 0.750
Se 0.000 0.000 0.000
Se 0.000 0.000 0.500
Se 0.487 0.513 0.250
Se 0.513 0.487 0.750

Properties
- raw formation energy (eV/atom) = -0.916
- space-group type = Cmcm (63)
- excess energy over the best structure of this formula in the dataset (eV/atom) = 0.191

---

## PuBiSe3 (PBE)

Data for crystalline PuBiSe3 at its relaxed geometry.

Lattice parameters (Å, degrees): 7.358 4.180 11.633 90.00 105.39 90.00
Fractional positions:
Pu 0.231 0.250 0.444
Pu 0.769 0.750 0.556
Bi 0.376 0.250 0.846
Bi 0.624 0.750 0.154
Se 0.054 0.250 0.639
Se 0.248 0.750 0.966
Se 0.437 0.750 0.358
Se 0.563 0.250 0.642
Se 0.752 0.250 0.034
Se 0.946 0.750 0.361

Properties
- raw formation energy (eV/atom) = -0.810
- space-group type = P2_1/m (11)

---

## PuBiSe4 (PBE)

Data for crystalline PuBiSe4 at its relaxed geometry.

Lattice parameters (Å, degrees): 6.995 7.003 7.198 90.00 96.95 90.00
Fractional positions:
Pu 0.000 0.000 0.000
Pu 0.000 0.500 0.500
Bi 0.500 0.000 0.500
Bi 0.500 0.500 0.000
Se 0.123 0.148 0.354
Se 0.123 0.352 0.854
Se 0.383 0.600 0.389
Se 0.383 0.900 0.889
Se 0.617 0.100 0.111
Se 0.617 0.400 0.611
Se 0.877 0.648 0.146
Se 0.877 0.852 0.646

Properties
- raw formation energy (eV/atom) = -0.597
- space-group type = P2_1/c (14)